No. 1
! PuTl2InCl6 PBE-GGA relaxed; values from VASP
&SYSTEM
  ibrav = 0, nat = 20, ntyp = 4
/
ATOMIC_SPECIES
Cl 35.45 Cl.upf
Pu 244.00 Pu.upf
Tl 204.38 Tl.upf
In 114.82 In.upf
CELL_PARAMETERS angstrom
-0.427 -4.059 -6.330
-4.301 -5.793 4.004
-9.324 4.792 -3.083
ATOMIC_POSITIONS crystal
Cl 0.837 0.777 0.926
Cl 0.663 0.277 0.574
Cl 0.337 0.723 0.426
Pu 0.000 0.500 0.000
Tl 0.971 0.073 0.739
Pu 0.500 0.000 0.500
Cl 0.203 0.172 0.450
Cl 0.703 0.328 0.950
Cl 0.867 0.562 0.232
Tl 0.471 0.427 0.239
Cl 0.797 0.828 0.550
Cl 0.367 0.938 0.732
Tl 0.029 0.927 0.261
In 0.500 0.000 0.000
Tl 0.529 0.573 0.761
Cl 0.297 0.672 0.050
In 0.000 0.500 0.500
Cl 0.633 0.062 0.268
Cl 0.133 0.438 0.768
Cl 0.163 0.223 0.074
! uncorrected energy	-4.64	eV/atom
! space-group type	P2_1/c, No. 14
! formation energy without anion corrections	-1.35	eV per atom
! N(E_F)	21.5	states/eV per cell
! M_tot	10.00	μB per cell

=====

No. 2
! PuTlIn2Cl6 PBE-GGA relaxed; values from VASP
&SYSTEM
  ibrav = 0, nat = 20, ntyp = 4
/
ATOMIC_SPECIES
Cl 35.45 Cl.upf
In 114.82 In.upf
Pu 244.00 Pu.upf
Tl 204.38 Tl.upf
CELL_PARAMETERS angstrom
7.514 0.000 0.194
0.000 8.377 0.000
0.352 0.000 10.871
ATOMIC_POSITIONS crystal
Cl 0.312 0.658 0.033
Cl 0.140 0.424 0.770
In 0.979 0.066 0.725
Cl 0.360 0.924 0.730
Cl 0.688 0.342 0.967
Pu 0.000 0.500 0.000
Cl 0.667 0.263 0.586
Cl 0.333 0.737 0.414
In 0.479 0.434 0.225
In 0.521 0.566 0.775
Tl 0.000 0.500 0.500
Cl 0.812 0.842 0.533
Cl 0.640 0.076 0.270
Cl 0.833 0.763 0.914
Pu 0.500 0.000 0.500
Cl 0.188 0.158 0.467
Cl 0.860 0.576 0.230
In 0.021 0.934 0.275
Cl 0.167 0.237 0.086
Tl 0.500 0.000 0.000
! uncorrected energy	-4.63	eV/atom
! space-group type	P2_1/c, No. 14
! formation energy without anion corrections	-1.31	eV per atom
! N(E_F)	18.1	states/eV per cell
! M_tot	10.00	μB per cell